{"formula": "NaCdGeAu", "functional": "GGA-PBE", "state": "optimized geometry", "e_tot_ev_per_cell": -10.337, "spacegroup": "F-43m, No. 216", "magmom_total_mub_per_atom": 0.000, "delta_e_f_ev_per_atom": -0.052, "cell": [[-1.757, -4.423, -0.948], [0.110, -3.439, 3.422], [-4.123, -1.473, 2.093]], "species": ["Au", "Ge", "Cd", "Na"], "frac_coords": [[0.000, 0.000, 0.000], [0.250, 0.250, 0.250], [0.500, 0.500, 0.500], [0.750, 0.750, 0.750]]}